1.
# Ga3AgO (GGA-PBE, optimized geometry)
# Offset from the most stable computed form = 0.00 kcal/mol of atoms
# Final energy = -3.50 eV per atom
# Crystal system = cubic
# SG = Pm-3m (221)
# Uncorrected formation energy = -0.13 eV/atom
data_Ga3AgO
_space_group_name_H-M_alt 'P 1'
_space_group_IT_number 1
_cell_length_a 4.450
_cell_length_b 4.450
_cell_length_c 4.450
_cell_angle_alpha 90.00
_cell_angle_beta 90.00
_cell_angle_gamma 90.00
loop_
_space_group_symop_operation_xyz
'x,y,z'
loop_
_atom_site_label
_atom_site_fract_x
_atom_site_fract_y
_atom_site_fract_z
_atom_site_occupancy
Ga1 0.000 0.000 0.500 1
Ga2 0.000 0.500 0.000 1
Ga3 0.500 0.000 0.000 1
Ag1 0.500 0.500 0.500 1
O1 0.000 0.000 0.000 1

=====

2.
# GaAgOsO6 (GGA-PBE, optimized geometry)
# Final energy = -6.12 eV per atom
# Crystal system = trigonal
# SG = P-31c (163)
# Uncorrected formation energy = -0.92 eV/atom
data_GaAgOsO6
_space_group_name_H-M_alt 'P 1'
_space_group_IT_number 1
_cell_length_a 5.184
_cell_length_b 5.184
_cell_length_c 9.650
_cell_angle_alpha 90.00
_cell_angle_beta 90.00
_cell_angle_gamma 120.00
loop_
_space_group_symop_operation_xyz
'x,y,z'
loop_
_atom_site_label
_atom_site_fract_x
_atom_site_fract_y
_atom_site_fract_z
_atom_site_occupancy
Ga1 0.333 0.667 0.250 1
Ga2 0.667 0.333 0.750 1
Ag1 0.000 0.000 0.000 1
Ag2 0.000 0.000 0.500 1
Os1 0.333 0.667 0.750 1
Os2 0.667 0.333 0.250 1
O1 0.016 0.385 0.640 1
O2 0.016 0.631 0.860 1
O3 0.369 0.385 0.860 1
O4 0.369 0.984 0.640 1
O5 0.385 0.016 0.140 1
O6 0.385 0.369 0.360 1
O7 0.615 0.631 0.640 1
O8 0.615 0.984 0.860 1
O9 0.631 0.016 0.360 1
O10 0.631 0.615 0.140 1
O11 0.984 0.369 0.140 1
O12 0.984 0.615 0.360 1

=====

3.
# GaAgOs2O8 (GGA-PBE, optimized geometry)
# Final energy = -6.42 eV per atom
# Crystal system = trigonal
# SG = P-3 (147)
# Uncorrected formation energy = -0.76 eV/atom
data_GaAgOs2O8
_space_group_name_H-M_alt 'P 1'
_space_group_IT_number 1
_cell_length_a 5.483
_cell_length_b 5.483
_cell_length_c 6.912
_cell_angle_alpha 90.00
_cell_angle_beta 90.00
_cell_angle_gamma 120.00
loop_
_space_group_symop_operation_xyz
'x,y,z'
loop_
_atom_site_label
_atom_site_fract_x
_atom_site_fract_y
_atom_site_fract_z
_atom_site_occupancy
Ga1 0.000 0.000 0.000 1
Ag1 0.000 0.000 0.500 1
Os1 0.333 0.667 0.252 1
Os2 0.667 0.333 0.748 1
O1 0.062 0.316 0.174 1
O2 0.254 0.938 0.174 1
O3 0.316 0.254 0.826 1
O4 0.333 0.667 0.507 1
O5 0.667 0.333 0.493 1
O6 0.684 0.746 0.174 1
O7 0.746 0.062 0.826 1
O8 0.938 0.684 0.826 1

=====

4.
# GaAgP2O (GGA-PBE, optimized geometry)
# Offset from the most stable computed form = 0.00 kcal/mol of atoms
# Final energy = -3.94 eV per atom
# Crystal system = tetragonal
# SG = P4/mmm (123)
# Uncorrected formation energy = 0.39 eV/atom
data_GaAgP2O
_space_group_name_H-M_alt 'P 1'
_space_group_IT_number 1
_cell_length_a 5.042
_cell_length_b 5.042
_cell_length_c 3.498
_cell_angle_alpha 90.00
_cell_angle_beta 90.00
_cell_angle_gamma 90.00
loop_
_space_group_symop_operation_xyz
'x,y,z'
loop_
_atom_site_label
_atom_site_fract_x
_atom_site_fract_y
_atom_site_fract_z
_atom_site_occupancy
Ga1 0.000 0.000 0.000 1
Ag1 0.500 0.500 0.500 1
P1 0.000 0.500 0.000 1
P2 0.500 0.000 0.000 1
O1 0.000 0.000 0.500 1

=====

5.
# GaAgP2O8 (GGA-PBE, optimized geometry)
# Final energy = -6.20 eV per atom
# Crystal system = trigonal
# SG = R-3 (148)
# Uncorrected formation energy = -1.50 eV/atom
data_GaAgP2O8
_space_group_name_H-M_alt 'P 1'
_space_group_IT_number 1
_cell_length_a 7.784
_cell_length_b 7.784
_cell_length_c 7.784
_cell_angle_alpha 35.94
_cell_angle_beta 35.94
_cell_angle_gamma 35.94
loop_
_space_group_symop_operation_xyz
'x,y,z'
loop_
_atom_site_label
_atom_site_fract_x
_atom_site_fract_y
_atom_site_fract_z
_atom_site_occupancy
Ga1 0.000 0.000 0.000 1
Ag1 0.500 0.500 0.500 1
P1 0.258 0.258 0.258 1
P2 0.742 0.742 0.742 1
O1 0.014 0.402 0.747 1
O2 0.186 0.186 0.186 1
O3 0.253 0.986 0.598 1
O4 0.402 0.747 0.014 1
O5 0.598 0.253 0.986 1
O6 0.747 0.014 0.402 1
O7 0.814 0.814 0.814 1
O8 0.986 0.598 0.253 1

=====

6.
# GaAgPO2 (GGA-PBE, optimized geometry)
# Offset from the most stable computed form = 0.00 kcal/mol of atoms
# Final energy = -4.36 eV per atom
# Crystal system = tetragonal
# SG = P4/mmm (123)
# Uncorrected formation energy = -0.11 eV/atom
data_GaAgPO2
_space_group_name_H-M_alt 'P 1'
_space_group_IT_number 1
_cell_length_a 3.704
_cell_length_b 3.704
_cell_length_c 5.907
_cell_angle_alpha 90.00
_cell_angle_beta 90.00
_cell_angle_gamma 90.00
loop_
_space_group_symop_operation_xyz
'x,y,z'
loop_
_atom_site_label
_atom_site_fract_x
_atom_site_fract_y
_atom_site_fract_z
_atom_site_occupancy
Ga1 0.000 0.000 0.000 1
Ag1 0.500 0.500 0.500 1
P1 0.000 0.000 0.500 1
O1 0.000 0.500 0.000 1
O2 0.500 0.000 0.000 1

=====

7.
# Ga2AgPO6 (GGA-PBE, optimized geometry)
# Final energy = -6.09 eV per atom
# Crystal system = monoclinic
# SG = C2/c (15)
# Uncorrected formation energy = -1.68 eV/atom
data_Ga2AgPO6
_space_group_name_H-M_alt 'P 1'
_space_group_IT_number 1
_cell_length_a 7.208
_cell_length_b 7.208
_cell_length_c 5.761
_cell_angle_alpha 104.63
_cell_angle_beta 104.63
_cell_angle_gamma 104.21
loop_
_space_group_symop_operation_xyz
'x,y,z'
loop_
_atom_site_label
_atom_site_fract_x
_atom_site_fract_y
_atom_site_fract_z
_atom_site_occupancy
Ga1 0.051 0.212 0.151 1
Ga2 0.212 0.051 0.651 1
Ga3 0.788 0.949 0.349 1
Ga4 0.949 0.788 0.849 1
Ag1 0.403 0.597 0.750 1
Ag2 0.597 0.403 0.250 1
P1 0.304 0.696 0.250 1
P2 0.696 0.304 0.750 1
O1 0.070 0.185 0.472 1
O2 0.144 0.680 0.005 1
O3 0.185 0.070 0.972 1
O4 0.261 0.487 0.296 1
O5 0.320 0.856 0.495 1
O6 0.487 0.261 0.796 1
O7 0.513 0.739 0.204 1
O8 0.680 0.144 0.505 1
O9 0.739 0.513 0.704 1
O10 0.815 0.930 0.028 1
O11 0.856 0.320 0.995 1
O12 0.930 0.815 0.528 1

=====

8.
# GaAgP2O (GGA-PBE, optimized geometry)
# Offset from the most stable computed form = 10.39 kcal/mol of atoms
# Final energy = -3.49 eV per atom
# Crystal system = tetragonal
# SG = P4/mmm (123)
# Uncorrected formation energy = 0.84 eV/atom
data_GaAgP2O
_space_group_name_H-M_alt 'P 1'
_space_group_IT_number 1
_cell_length_a 4.920
_cell_length_b 4.920
_cell_length_c 3.937
_cell_angle_alpha 90.00
_cell_angle_beta 90.00
_cell_angle_gamma 90.00
loop_
_space_group_symop_operation_xyz
'x,y,z'
loop_
_atom_site_label
_atom_site_fract_x
_atom_site_fract_y
_atom_site_fract_z
_atom_site_occupancy
Ga1 0.000 0.000 0.000 1
Ag1 0.500 0.500 0.500 1
P1 0.000 0.500 0.500 1
P2 0.500 0.000 0.500 1
O1 0.500 0.500 0.000 1